Record 1
An optimized crystal structure of Pm2Dy4Tl. Source: Alexandria, functional PBE-GGA.

Geometry as POSCAR:
```
Pm2Dy4Tl
1.0
5.8137 0.0000 0.0000
0.0000 6.7071 0.0000
-2.6872 0.0000 11.2322
Pm Dy Tl
4 8 2
direct
0.0359 0.2500 0.4754
0.3357 0.7500 0.0708
0.6643 0.2500 0.9292
0.9641 0.7500 0.5246
0.1602 0.0089 0.7872
0.1602 0.4911 0.7872
0.2160 0.2500 0.0688
0.3937 0.7500 0.3689
0.6063 0.2500 0.6311
0.7840 0.7500 0.9312
0.8398 0.5089 0.2128
0.8398 0.9911 0.2128
0.4663 0.2500 0.3399
0.5337 0.7500 0.6601
```

Properties
The formation energy comes out at -0.007 eV/atom. The crystal system is monoclinic. The calculation puts the volume at 438.0 Å³ per cell. For the density of states at the Fermi level, the calculation gives 1.196 states/eV per atom. As for the space-group type: P2_1/m.

=====

Record 2
An optimized crystal structure of TbHoPb2. Source: Alexandria, functional PBE-GGA.

Geometry as POSCAR:
```
TbHoPb2
1.0
5.0503 0.0000 0.0000
0.0000 5.0503 0.0000
0.0000 0.0000 4.4270
Tb Ho Pb
1 1 2
direct
0.0000 0.0000 0.0000
0.5000 0.5000 0.0000
0.0000 0.5000 0.5000
0.5000 0.0000 0.5000
```

Properties
The formation energy comes out at -0.424 eV/atom. The crystal system is tetragonal. The calculation puts the volume at 112.9 Å³ per cell. For the density of states at the Fermi level, the calculation gives 1.047 states/eV per atom. As for the space-group type: P4/mmm.

=====

Record 3
An optimized crystal structure of Pa2CrAsN6. Source: Alexandria, functional PBE-GGA.

Geometry as POSCAR:
```
Pa2CrAsN6
1.0
2.7455 1.5851 5.1473
-2.7455 1.5851 5.1473
0.0000 -3.1702 5.1473
Pa Cr As N
2 1 1 6
direct
0.0000 0.0000 0.0000
0.4889 0.4889 0.4889
0.7900 0.7900 0.7900
0.2688 0.2688 0.2688
0.0457 0.7334 0.4454
0.1767 0.5787 0.9224
0.4454 0.0457 0.7334
0.5787 0.9224 0.1767
0.7334 0.4454 0.0457
0.9224 0.1767 0.5787
```

Properties
The crystal system is trigonal. For the final energy, the calculation gives -0.3324 hartree per atom. The calculation puts the volume at 134.4 Å³ per cell. For the density of states at the Fermi level, the calculation gives 0.469 states/eV per atom. As for the space-group type: R3.

=====

Record 4
An optimized crystal structure of MoAsAu2. Source: Alexandria, functional PBE-GGA.

Geometry as POSCAR:
```
MoAsAu2
1.0
-1.5308 2.2417 5.0256
1.5308 -2.2417 5.0256
1.5308 2.2417 -5.0256
Mo As Au
1 1 2
direct
0.0000 0.0000 0.0000
0.5000 0.5000 0.0000
0.2649 0.7649 0.5000
0.7351 0.2351 0.5000
```

Properties
The formation energy comes out at 0.297 eV/atom. The crystal system is orthorhombic. The calculation puts the volume at 69.0 Å³ per cell. For the density of states at the Fermi level, the calculation gives 0.725 states/eV per atom. As for the space-group type: Immm.

=====

Record 5
An optimized crystal structure of La4InAgHg2. Source: Alexandria, functional PBE-GGA.

Geometry as POSCAR:
```
La4InAgHg2
1.0
2.7568 1.5916 9.0126
-2.7568 1.5916 9.0126
0.0000 -3.1833 9.0126
La In Ag Hg
4 1 1 2
direct
0.1215 0.1215 0.1215
0.3720 0.3720 0.3720
0.6280 0.6280 0.6280
0.8785 0.8785 0.8785
0.5000 0.5000 0.5000
0.0000 0.0000 0.0000
0.2469 0.2469 0.2469
0.7531 0.7531 0.7531
```

Properties
The formation energy comes out at -0.438 eV/atom. The crystal system is trigonal. The calculation puts the volume at 237.3 Å³ per cell. For the density of states at the Fermi level, the calculation gives 1.158 states/eV per atom. As for the space-group type: R-3m.

=====

Record 6
An optimized crystal structure of Na3RhO. Source: Alexandria, functional PBE-GGA.

Geometry as POSCAR:
```
Na3RhO
1.0
5.3747 0.0000 0.0000
0.0000 5.3747 0.0000
0.0000 0.0000 5.3747
Na Rh O
3 1 1
direct
0.0000 0.0000 0.5000
0.0000 0.5000 0.0000
0.5000 0.0000 0.0000
0.0000 0.0000 0.0000
0.5000 0.5000 0.5000
```

Properties
The crystal system is cubic. For the final energy, the calculation gives -0.0904 hartree per atom. The calculation puts the volume at 155.3 Å³ per cell. For the density of states at the Fermi level, the calculation gives 3.497 states/eV per atom. As for the space-group type: Pm-3m.